(a)
A relaxed structure of RbCdOs3, computed with PBE. Values from VASP.

Calculated values
- Crystal system: cubic
- Calculated volume: 22.283 A^3/atom
- Density: 11.46 g/cm³

Quantum ESPRESSO input file:
```
&SYSTEM
  ibrav = 0, nat = 5, ntyp = 3
/
ATOMIC_SPECIES
Rb 85.47 Rb.upf
Cd 112.41 Cd.upf
Os 190.23 Os.upf
ATOMIC_POSITIONS crystal
Rb 0.0000 0.0000 0.0000
Cd 0.5000 0.5000 0.5000
Os 0.0000 0.0000 0.5000
Os 0.0000 0.5000 0.0000
Os 0.5000 0.0000 0.0000
CELL_PARAMETERS angstrom
4.8118 0.0000 0.0000
0.0000 4.8118 0.0000
0.0000 0.0000 4.8118
```

***

(b)
A relaxed structure of RbCdOs3, computed with PBE. Values from VASP.

Calculated values
- Crystal system: cubic
- Calculated volume: 26.564 A^3/atom
- Density: 9.61 g/cm³

Quantum ESPRESSO input file:
```
&SYSTEM
  ibrav = 0, nat = 5, ntyp = 3
/
ATOMIC_SPECIES
Rb 85.47 Rb.upf
Cd 112.41 Cd.upf
Os 190.23 Os.upf
ATOMIC_POSITIONS crystal
Rb 0.0000 0.0000 0.0000
Cd 0.5000 0.5000 0.5000
Os 0.0000 0.5000 0.5000
Os 0.5000 0.0000 0.5000
Os 0.5000 0.5000 0.0000
CELL_PARAMETERS angstrom
5.1022 0.0000 0.0000
0.0000 5.1022 0.0000
0.0000 0.0000 5.1022
```

***

Which of them is most stable, and which least? Most stable: (b); least stable: (a).

***

(a)
A relaxed structure of CdRe2Os2, computed with PBE. Values from VASP.

Calculated values
- Crystal system: tetragonal
- Calculated volume: 16.546 A^3/atom
- Density: 17.37 g/cm³

Quantum ESPRESSO input file:
```
&SYSTEM
  ibrav = 0, nat = 10, ntyp = 3
/
ATOMIC_SPECIES
Cd 112.41 Cd.upf
Re 186.21 Re.upf
Os 190.23 Os.upf
ATOMIC_POSITIONS crystal
Cd 0.0000 0.0000 0.0000
Cd 0.5000 0.5000 0.0000
Re 0.1224 0.3776 0.0000
Re 0.3776 0.8776 0.0000
Re 0.6224 0.1224 0.0000
Re 0.8776 0.6224 0.0000
Os 0.1643 0.6643 0.5000
Os 0.3357 0.1643 0.5000
Os 0.6643 0.8357 0.5000
Os 0.8357 0.3357 0.5000
CELL_PARAMETERS angstrom
7.7253 0.0000 0.0000
0.0000 7.7253 0.0000
0.0000 0.0000 2.7724
```

***

(b)
A relaxed structure of CdRe2Os2, computed with PBE. Values from VASP.

Calculated values
- Crystal system: tetragonal
- Calculated volume: 16.455 A^3/atom
- Density: 17.46 g/cm³

Quantum ESPRESSO input file:
```
&SYSTEM
  ibrav = 0, nat = 10, ntyp = 3
/
ATOMIC_SPECIES
Cd 112.41 Cd.upf
Re 186.21 Re.upf
Os 190.23 Os.upf
ATOMIC_POSITIONS crystal
Cd 0.0000 0.0000 0.0000
Cd 0.5000 0.5000 0.0000
Re 0.1628 0.3372 0.5000
Re 0.3372 0.8372 0.5000
Re 0.6628 0.1628 0.5000
Re 0.8372 0.6628 0.5000
Os 0.1256 0.6256 0.0000
Os 0.3744 0.1256 0.0000
Os 0.6256 0.8744 0.0000
Os 0.8744 0.3744 0.0000
CELL_PARAMETERS angstrom
7.6971 0.0000 0.0000
0.0000 7.6971 0.0000
0.0000 0.0000 2.7774
```

***

Which of them is most stable, and which least? Most stable: (b); least stable: (a).

***

(a)
A relaxed structure of CdOs3S, computed with PBE. Values from VASP.

Calculated values
- Crystal system: cubic
- Calculated volume: 24.089 A^3/atom
- Density: 9.86 g/cm³

Quantum ESPRESSO input file:
```
&SYSTEM
  ibrav = 0, nat = 5, ntyp = 3
/
ATOMIC_SPECIES
Cd 112.41 Cd.upf
Os 190.23 Os.upf
S 32.06 S.upf
ATOMIC_POSITIONS crystal
Cd 0.0000 0.0000 0.0000
Os 0.0000 0.0000 0.5000
Os 0.0000 0.5000 0.0000
Os 0.5000 0.0000 0.0000
S 0.5000 0.5000 0.5000
CELL_PARAMETERS angstrom
4.9385 0.0000 0.0000
0.0000 4.9385 0.0000
0.0000 0.0000 4.9385
```

***

(b)
A relaxed structure of CdOs3S, computed with PBE. Values from VASP.

Calculated values
- Crystal system: cubic
- Calculated volume: 16.794 A^3/atom
- Density: 14.14 g/cm³

Quantum ESPRESSO input file:
```
&SYSTEM
  ibrav = 0, nat = 5, ntyp = 3
/
ATOMIC_SPECIES
Cd 112.41 Cd.upf
Os 190.23 Os.upf
S 32.06 S.upf
ATOMIC_POSITIONS crystal
Cd 0.0000 0.0000 0.0000
Os 0.0000 0.5000 0.5000
Os 0.5000 0.0000 0.5000
Os 0.5000 0.5000 0.0000
S 0.5000 0.5000 0.5000
CELL_PARAMETERS angstrom
4.3790 0.0000 0.0000
0.0000 4.3790 0.0000
0.0000 0.0000 4.3790
```

***

Which of them is most stable, and which least? Most stable: (b); least stable: (a).

***

(a)
A relaxed structure of CdSb2Os, computed with PBE. Values from VASP.

Calculated values
- Crystal system: orthorhombic
- Calculated volume: 23.616 A^3/atom
- Density: 9.60 g/cm³

Quantum ESPRESSO input file:
```
&SYSTEM
  ibrav = 0, nat = 8, ntyp = 3
/
ATOMIC_SPECIES
Cd 112.41 Cd.upf
Sb 121.76 Sb.upf
Os 190.23 Os.upf
ATOMIC_POSITIONS crystal
Cd 0.0000 0.0000 0.0000
Cd 0.5000 0.5000 0.5000
Sb 0.0000 0.5000 0.1754
Sb 0.0000 0.5000 0.8246
Sb 0.5000 0.0000 0.3246
Sb 0.5000 0.0000 0.6754
Os 0.0000 0.0000 0.5000
Os 0.5000 0.5000 0.0000
CELL_PARAMETERS angstrom
3.1626 0.0000 0.0000
0.0000 4.7736 0.0000
0.0000 0.0000 12.5142
```

***

(b)
A relaxed structure of CdSb2Os, computed with PBE. Values from VASP.

Calculated values
- Crystal system: trigonal
- Calculated volume: 23.357 A^3/atom
- Density: 9.71 g/cm³

Quantum ESPRESSO input file:
```
&SYSTEM
  ibrav = 0, nat = 12, ntyp = 3
/
ATOMIC_SPECIES
Cd 112.41 Cd.upf
Sb 121.76 Sb.upf
Os 190.23 Os.upf
ATOMIC_POSITIONS crystal
Cd 0.0000 0.0000 0.0000
Cd 0.3333 0.6667 0.6667
Cd 0.6667 0.3333 0.3333
Sb 0.0000 0.0000 0.2317
Sb 0.0000 0.0000 0.7683
Sb 0.3333 0.6667 0.4350
Sb 0.3333 0.6667 0.8984
Sb 0.6667 0.3333 0.1016
Sb 0.6667 0.3333 0.5650
Os 0.0000 0.0000 0.5000
Os 0.3333 0.6667 0.1667
Os 0.6667 0.3333 0.8333
CELL_PARAMETERS angstrom
3.2112 0.0000 0.0000
-1.6056 2.7810 0.0000
0.0000 0.0000 31.3856
```

***

Which of them is most stable, and which least? Most stable: (a); least stable: (b).

***

(a)
A relaxed structure of CdSb2TeOs, computed with PBE. Values from VASP.

Calculated values
- Crystal system: tetragonal
- Calculated volume: 29.836 A^3/atom
- Density: 7.50 g/cm³

Quantum ESPRESSO input file:
```
&SYSTEM
  ibrav = 0, nat = 5, ntyp = 4
/
ATOMIC_SPECIES
Cd 112.41 Cd.upf
Sb 121.76 Sb.upf
Te 127.60 Te.upf
Os 190.23 Os.upf
ATOMIC_POSITIONS crystal
Cd 0.0000 0.0000 0.0000
Sb 0.0000 0.5000 0.5000
Sb 0.5000 0.0000 0.5000
Te 0.5000 0.5000 0.0000
Os 0.5000 0.5000 0.5000
CELL_PARAMETERS angstrom
5.0091 0.0000 0.0000
0.0000 5.0091 0.0000
0.0000 0.0000 5.9456
```

***

(b)
A relaxed structure of CdSb2TeOs, computed with PBE. Values from VASP.

Calculated values
- Crystal system: tetragonal
- Calculated volume: 31.492 A^3/atom
- Density: 7.11 g/cm³

Quantum ESPRESSO input file:
```
&SYSTEM
  ibrav = 0, nat = 5, ntyp = 4
/
ATOMIC_SPECIES
Cd 112.41 Cd.upf
Sb 121.76 Sb.upf
Te 127.60 Te.upf
Os 190.23 Os.upf
ATOMIC_POSITIONS crystal
Cd 0.0000 0.0000 0.0000
Sb 0.0000 0.5000 0.0000
Sb 0.5000 0.0000 0.0000
Te 0.0000 0.0000 0.5000
Os 0.5000 0.5000 0.5000
CELL_PARAMETERS angstrom
5.3886 0.0000 0.0000
0.0000 5.3886 0.0000
0.0000 0.0000 5.4228
```

***

Which of them is most stable, and which least? Most stable: (a); least stable: (b).

***

(a)
A relaxed structure of Sc4CdOs, computed with PBE. Values from VASP.

Calculated values
- Crystal system: cubic
- Calculated volume: 20.094 A^3/atom
- Density: 6.65 g/cm³

Quantum ESPRESSO input file:
```
&SYSTEM
  ibrav = 0, nat = 6, ntyp = 3
/
ATOMIC_SPECIES
Sc 44.96 Sc.upf
Cd 112.41 Cd.upf
Os 190.23 Os.upf
ATOMIC_POSITIONS crystal
Sc 0.3776 0.3776 0.3776
Sc 0.3776 0.3776 0.8672
Sc 0.3776 0.8672 0.3776
Sc 0.8672 0.3776 0.3776
Cd 0.0000 0.0000 0.0000
Os 0.7500 0.7500 0.7500
CELL_PARAMETERS angstrom
0.0000 3.9210 3.9210
3.9210 0.0000 3.9210
3.9210 3.9210 0.0000
```

***

(b)
A relaxed structure of Sc4CdOs, computed with PBE. Values from VASP.

Calculated values
- Crystal system: tetragonal
- Calculated volume: 21.517 A^3/atom
- Density: 6.21 g/cm³

Quantum ESPRESSO input file:
```
&SYSTEM
  ibrav = 0, nat = 6, ntyp = 3
/
ATOMIC_SPECIES
Sc 44.96 Sc.upf
Cd 112.41 Cd.upf
Os 190.23 Os.upf
ATOMIC_POSITIONS crystal
Sc 0.0000 0.0000 0.1257
Sc 0.0000 0.0000 0.8743
Sc 0.5000 0.5000 0.3319
Sc 0.5000 0.5000 0.6681
Cd 0.0000 0.0000 0.5000
Os 0.5000 0.5000 0.0000
CELL_PARAMETERS angstrom
3.2541 0.0000 0.0000
0.0000 3.2541 0.0000
0.0000 0.0000 12.1916
```

***

(c)
A relaxed structure of Sc4CdOs, computed with PBE. Values from VASP.

Calculated values
- Crystal system: monoclinic
- Calculated volume: 24.254 A^3/atom
- Density: 5.51 g/cm³

Quantum ESPRESSO input file:
```
&SYSTEM
  ibrav = 0, nat = 12, ntyp = 3
/
ATOMIC_SPECIES
Sc 44.96 Sc.upf
Cd 112.41 Cd.upf
Os 190.23 Os.upf
ATOMIC_POSITIONS crystal
Sc 0.1142 0.0000 0.3406
Sc 0.1354 0.5000 0.9066
Sc 0.3646 0.0000 0.0934
Sc 0.3858 0.5000 0.6594
Sc 0.6142 0.5000 0.3406
Sc 0.6354 0.0000 0.9066
Sc 0.8646 0.5000 0.0934
Sc 0.8858 0.0000 0.6594
Cd 0.0000 0.5000 0.5000
Cd 0.5000 0.0000 0.5000
Os 0.0000 0.0000 0.0000
Os 0.5000 0.5000 0.0000
CELL_PARAMETERS angstrom
8.1802 0.0000 0.0000
0.0000 4.7033 0.0000
-2.7198 0.0000 7.5649
```

***

Which of them is most stable, and which least? Most stable: (b); least stable: (a).